{
  "formula": "VTe2NO",
  "functional": "PBE with a Hubbard U",
  "state": "relaxed",
  "total_energy_ev_per_cell": -21.5,
  "crystal_system": "tetragonal",
  "magmom_total_mub_per_cell": 2.6,
  "lattice": [[4.6530, 0.0000, 0.0000], [0.0000, 4.6530, 0.0000], [0.0000, 0.0000, 4.0355]],
  "species": ["V", "Te", "Te", "N", "O"],
  "fractional_positions": [[0.0000, 0.0000, 0.0000], [0.0000, 0.5000, 0.5000], [0.5000, 0.0000, 0.5000], [0.5000, 0.5000, 0.0000], [0.5000, 0.5000, 0.5000]]
}